P.
A plane-wave DFT calculation with PBE was carried out for crystalline NaSr4Ca3 at its relaxed geometry.

Computed properties:
Theoretical density   2.155 g cm⁻³

a = 4.146 Å, b = 4.146 Å, c = 22.135 Å
α = 90.00°, β = 90.00°, γ = 90.00°
Sites, in units of the cell vectors:
1 Na 0.000 0.000 0.000
2 Sr 0.500 0.500 0.120
3 Sr 0.500 0.500 0.374
4 Sr 0.500 0.500 0.626
5 Sr 0.500 0.500 0.880
6 Ca 0.000 0.000 0.247
7 Ca 0.000 0.000 0.500
8 Ca 0.000 0.000 0.753

***

Q.
A plane-wave DFT calculation with PBE was carried out for crystalline NaSr4Ca3 at its relaxed geometry.

Computed properties:
Theoretical density   2.151 g cm⁻³

a = 6.486 Å, b = 12.980 Å, c = 9.053 Å
α = 90.00°, β = 90.00°, γ = 90.00°
Sites, in units of the cell vectors:
1 Na 0.250 0.250 0.116
2 Na 0.750 0.750 0.884
3 Sr 0.250 0.000 0.358
4 Sr 0.250 0.250 0.636
5 Sr 0.250 0.500 0.358
6 Sr 0.250 0.750 0.650
7 Sr 0.750 0.000 0.642
8 Sr 0.750 0.250 0.350
9 Sr 0.750 0.500 0.642
10 Sr 0.750 0.750 0.364
11 Ca 0.250 0.013 0.895
12 Ca 0.250 0.487 0.895
13 Ca 0.250 0.750 0.104
14 Ca 0.750 0.250 0.896
15 Ca 0.750 0.513 0.105
16 Ca 0.750 0.987 0.105

***

How far above the most stable structure does each one sit? In eV/atom: P 0.000; Q 0.012.

***

P.
A plane-wave DFT calculation with PBE was carried out for crystalline NaSr7Ca3 at its relaxed geometry.

Computed properties:
Theoretical density   2.157 g cm⁻³

a = 8.243 Å, b = 8.243 Å, c = 9.898 Å
α = 90.00°, β = 90.00°, γ = 120.00°
Sites, in units of the cell vectors:
1 Na 0.000 0.000 0.000
2 Sr 0.333 0.166 0.345
3 Sr 0.333 0.667 0.343
4 Sr 0.500 0.001 0.995
5 Sr 0.500 0.500 0.995
6 Sr 0.834 0.166 0.345
7 Sr 0.834 0.667 0.345
8 Sr 0.999 0.500 0.995
9 Ca 0.166 0.333 0.672
10 Ca 0.166 0.834 0.672
11 Ca 0.667 0.834 0.672

***

Q.
A plane-wave DFT calculation with PBE was carried out for crystalline NaSr7Ca3 at its relaxed geometry.

Computed properties:
Theoretical density   2.238 g cm⁻³

a = 14.696 Å, b = 14.696 Å, c = 18.987 Å
α = 90.00°, β = 90.00°, γ = 164.11°
Sites, in units of the cell vectors:
1 Na 0.090 0.910 0.750
2 Na 0.910 0.090 0.250
3 Sr 0.290 0.710 0.576
4 Sr 0.290 0.710 0.924
5 Sr 0.340 0.660 0.117
6 Sr 0.340 0.660 0.383
7 Sr 0.389 0.611 0.750
8 Sr 0.485 0.515 0.115
9 Sr 0.485 0.515 0.385
10 Sr 0.515 0.485 0.615
11 Sr 0.515 0.485 0.885
12 Sr 0.611 0.389 0.250
13 Sr 0.660 0.340 0.617
14 Sr 0.660 0.340 0.883
15 Sr 0.710 0.290 0.076
16 Sr 0.710 0.290 0.424
17 Ca 0.092 0.908 0.042
18 Ca 0.092 0.908 0.458
19 Ca 0.238 0.762 0.750
20 Ca 0.762 0.238 0.250
21 Ca 0.908 0.092 0.542
22 Ca 0.908 0.092 0.958

***

How far above the most stable structure does each one sit? In eV/atom: P 0.041; Q 0.000.

***

P.
A plane-wave DFT calculation with PBE was carried out for crystalline Na2Sr4Ca at its relaxed geometry.

Computed properties:
Theoretical density   2.119 g cm⁻³

a = 7.040 Å, b = 7.040 Å, c = 12.724 Å
α = 101.70°, β = 101.70°, γ = 33.71°
Sites, in units of the cell vectors:
1 Na 0.163 0.163 0.054
2 Na 0.837 0.837 0.946
3 Sr 0.242 0.242 0.357
4 Sr 0.477 0.477 0.201
5 Sr 0.523 0.523 0.799
6 Sr 0.758 0.758 0.643
7 Ca 0.000 0.000 0.500

***

Q.
A plane-wave DFT calculation with PBE was carried out for crystalline Na2Sr4Ca at its relaxed geometry.

Computed properties:
Theoretical density   2.128 g cm⁻³

a = 7.168 Å, b = 10.624 Å, c = 10.632 Å
α = 60.09°, β = 76.14°, γ = 83.13°
Sites, in units of the cell vectors:
1 Na 0.000 0.000 0.000
2 Na 0.249 0.487 0.513
3 Na 0.501 0.971 0.015
4 Na 0.750 0.485 0.014
5 Sr 0.105 0.866 0.372
6 Sr 0.221 0.327 0.952
7 Sr 0.276 0.642 0.071
8 Sr 0.397 0.110 0.642
9 Sr 0.605 0.107 0.254
10 Sr 0.721 0.644 0.293
11 Sr 0.777 0.331 0.728
12 Sr 0.898 0.863 0.764
13 Ca 0.497 0.723 0.642
14 Ca 0.998 0.249 0.379

***

How far above the most stable structure does each one sit? In eV/atom: P 0.000; Q 0.009.

***

P.
A plane-wave DFT calculation with PBE was carried out for crystalline Na3SrCa3 at its relaxed geometry.

Computed properties:
Theoretical density   1.256 g cm⁻³

a = 9.013 Å, b = 9.013 Å, c = 9.013 Å
α = 90.00°, β = 90.00°, γ = 90.00°
Sites, in units of the cell vectors:
1 Na 0.000 0.250 0.500
2 Na 0.000 0.750 0.500
3 Na 0.250 0.500 0.000
4 Na 0.500 0.000 0.250
5 Na 0.500 0.000 0.750
6 Na 0.750 0.500 0.000
7 Sr 0.000 0.000 0.000
8 Sr 0.500 0.500 0.500
9 Ca 0.000 0.500 0.250
10 Ca 0.000 0.500 0.750
11 Ca 0.250 0.000 0.500
12 Ca 0.500 0.250 0.000
13 Ca 0.500 0.750 0.000
14 Ca 0.750 0.000 0.500

***

Q.
A plane-wave DFT calculation with PBE was carried out for crystalline Na3SrCa3 at its relaxed geometry.

Computed properties:
Theoretical density   1.574 g cm⁻³

a = 10.353 Å, b = 10.353 Å, c = 6.294 Å
α = 90.00°, β = 90.00°, γ = 120.00°
Sites, in units of the cell vectors:
1 Na 0.087 0.470 0.250
2 Na 0.383 0.913 0.250
3 Na 0.470 0.383 0.750
4 Na 0.530 0.617 0.250
5 Na 0.617 0.087 0.750
6 Na 0.913 0.530 0.750
7 Sr 0.333 0.667 0.750
8 Sr 0.667 0.333 0.250
9 Ca 0.021 0.224 0.750
10 Ca 0.203 0.979 0.750
11 Ca 0.224 0.203 0.250
12 Ca 0.776 0.797 0.750
13 Ca 0.797 0.021 0.250
14 Ca 0.979 0.776 0.250

***

How far above the most stable structure does each one sit? In eV/atom: P 0.498; Q 0.000.

***

P.
A plane-wave DFT calculation with PBE was carried out for crystalline Na2Sr5Ca5 at its relaxed geometry.

Computed properties:
Theoretical density   2.038 g cm⁻³

a = 7.713 Å, b = 7.713 Å, c = 12.603 Å
α = 90.44°, β = 90.44°, γ = 48.07°
Sites, in units of the cell vectors:
1 Na 0.164 0.164 0.255
2 Na 0.836 0.836 0.745
3 Sr 0.000 0.000 0.000
4 Sr 0.333 0.333 0.482
5 Sr 0.483 0.483 0.759
6 Sr 0.517 0.517 0.241
7 Sr 0.667 0.667 0.518
8 Ca 0.000 0.000 0.500
9 Ca 0.177 0.177 0.752
10 Ca 0.320 0.320 0.022
11 Ca 0.680 0.680 0.978
12 Ca 0.823 0.823 0.248

***

Q.
A plane-wave DFT calculation with PBE was carried out for crystalline Na2Sr5Ca5 at its relaxed geometry.

Computed properties:
Theoretical density   2.047 g cm⁻³

a = 9.952 Å, b = 9.952 Å, c = 14.381 Å
α = 115.91°, β = 115.91°, γ = 25.86°
Sites, in units of the cell vectors:
1 Na 0.175 0.175 0.004
2 Na 0.825 0.825 0.996
3 Sr 0.332 0.332 0.488
4 Sr 0.414 0.414 0.244
5 Sr 0.500 0.500 0.000
6 Sr 0.586 0.586 0.756
7 Sr 0.668 0.668 0.512
8 Ca 0.000 0.000 0.500
9 Ca 0.088 0.088 0.261
10 Ca 0.262 0.262 0.766
11 Ca 0.738 0.738 0.234
12 Ca 0.912 0.912 0.739

***

How far above the most stable structure does each one sit? In eV/atom: P 0.013; Q 0.000.